This record from Alexandria describes crystalline Ni2Hg2F at its relaxed geometry. The functional is PBE+U.

Properties
V ... 16.6 Å³ per atom
Fermi-level density of states ... 2.721 states/eV/cell
Electronic total energy ... -16.4 eV for the cell shown
Space group ... P4/mbm
Energy above the most stable polymorph in this dataset ... 0.0 meV per atom

a b c (Å): 5.9828 5.9828 4.6349
angles (deg): 90.00 90.00 90.00
Closest atoms and distances in Å follow each position.
Element x y z (fractional)
Ni1 0.1588 0.3412 0.0000  2 F 2.25
Ni2 0.3412 0.8412 0.0000  2 F 2.25
Ni3 0.6588 0.1588 0.0000  2 F 2.25
Ni4 0.8412 0.6588 0.0000  2 F 2.25
Hg1 0.1698 0.6698 0.5000  6 Ni 2.73-3.04, 1 Hg 2.87
Hg2 0.3302 0.1698 0.5000  6 Ni 2.73-3.04, 1 Hg 2.87
Hg3 0.6698 0.8302 0.5000  6 Ni 2.73-3.04, 1 Hg 2.87
Hg4 0.8302 0.3302 0.5000  6 Ni 2.73-3.04, 1 Hg 2.87
F1 0.0000 0.0000 0.0000  4 Ni 2.25
F2 0.5000 0.5000 0.0000  4 Ni 2.25